a:
A plane-wave DFT calculation with PBE was carried out for an optimized crystal structure of Er4BiRh.

Computed properties:
The value obtained for the total moment is 0.0 μB/cell.

Cell lengths 8.9207, 13.3090, 6.0357 Å; angles 90.00, 112.58, 90.00 degrees
Space group C2/c (No. 15)
One atom of each set of equivalent atoms:
Er (0.1106, 0.1704, 0.0671)
Er (0.2216, 0.4250, 0.3524)
Bi (0.0000, 0.3744, 0.7500)
Rh (0.0000, 0.0001, 0.2500)

=====

b:
A plane-wave DFT calculation with PBE was carried out for an optimized crystal structure of Er4BiRh.

Computed properties:
The value obtained for the total moment is 1.7 μB/cell.

Cell lengths 8.1544, 4.0625, 19.2810 Å; angles 90.00, 90.00, 90.00 degrees
Space group Pnma (No. 62)
One atom of each set of equivalent atoms:
Er (0.0018, 0.2500, 0.0669)
Er (0.0441, 0.7500, 0.2132)
Er (0.1398, 0.7500, 0.6436)
Er (0.1423, 0.7500, 0.4510)
Bi (0.2400, 0.2500, 0.3109)
Rh (0.2441, 0.2500, 0.5494)

=====

It is a that is the least stable of them.

=====

a:
A plane-wave DFT calculation with PBE was carried out for an optimized crystal structure of Er2BiRu.

Computed properties:
The value obtained for the total moment is 0.0 μB/cell.

Cell lengths 6.8224, 8.3781, 13.5328 Å; angles 90.00, 90.00, 90.00 degrees
Space group Imma (No. 74)
One atom of each set of equivalent atoms:
Er (0.2386, 0.0487, 0.1248)
Bi (0.0000, 0.2500, 0.5268)
Bi (0.0000, 0.2500, 0.7787)
Ru (0.0000, 0.2500, 0.0060)
Ru (0.0000, 0.2500, 0.2503)

=====

b:
A plane-wave DFT calculation with PBE was carried out for an optimized crystal structure of Er2BiRu.

Computed properties:
The value obtained for the total moment is 0.0 μB/cell.

Cell lengths 3.6223, 3.6223, 26.7835 Å; angles 90.00, 90.00, 120.00 degrees
Space group R-3m (No. 166, hexagonal axes)
One atom of each set of equivalent atoms:
Er (0.0000, 0.0000, 0.2347)
Bi (0.0000, 0.0000, 0.0000)
Ru (0.0000, 0.0000, 0.5000)

=====

c:
A plane-wave DFT calculation with PBE was carried out for an optimized crystal structure of Er2BiRu.

Computed properties:
The value obtained for the total moment is 0.0 μB/cell.

Cell lengths 3.4111, 3.4111, 8.3073 Å; angles 90.00, 90.00, 90.00 degrees
Space group P4/mmm (No. 123)
One atom of each set of equivalent atoms:
Er (0.0000, 0.0000, 0.1974)
Bi (0.5000, 0.5000, 0.5000)
Ru (0.5000, 0.5000, 0.0000)

=====

It is b that is the least stable of them.

=====

a:
A plane-wave DFT calculation with PBE was carried out for an optimized crystal structure of ErBiS.

Computed properties:
The value obtained for the total moment is 0.0 μB/cell.

Cell lengths 3.4715, 3.4715, 14.4038 Å; angles 90.00, 90.00, 90.00 degrees
Space group I4mm (No. 107)
One atom of each set of equivalent atoms:
Er (0.0000, 0.0000, 0.0000)
Bi (0.0000, 0.0000, 0.3206)
S (0.0000, 0.0000, 0.5756)

=====

b:
A plane-wave DFT calculation with PBE was carried out for an optimized crystal structure of ErBiS.

Computed properties:
The value obtained for the total moment is 0.0 μB/cell.

Cell lengths 6.9359, 4.0043, 13.7778 Å; angles 90.00, 100.34, 90.00 degrees
Space group C2/m (No. 12)
One atom of each set of equivalent atoms:
Er (0.0963, 0.0000, 0.2710)
Bi (0.1362, 0.5000, 0.9141)
S (0.2062, 0.0000, 0.6425)

=====

It is b that is the least stable of them.

=====

a:
A plane-wave DFT calculation with PBE was carried out for an optimized crystal structure of ErBiS3.

Computed properties:
The value obtained for the total moment is 0.0 μB/cell.

Cell lengths 7.0702, 3.9912, 9.9775 Å; angles 90.00, 90.14, 90.00 degrees
Space group P2_1/m (No. 11)
One atom of each set of equivalent atoms:
Er (0.0739, 0.2500, 0.1756)
Bi (0.4171, 0.2500, 0.8135)
S (0.0880, 0.2500, 0.6874)
S (0.2213, 0.7500, 0.0076)
S (0.4073, 0.2500, 0.3165)

=====

b:
A plane-wave DFT calculation with PBE was carried out for an optimized crystal structure of ErBiS3.

Computed properties:
The value obtained for the total moment is 0.0 μB/cell.

Cell lengths 7.9565, 3.9624, 8.0724 Å; angles 90.00, 94.84, 90.00 degrees
Space group P2_1/m (No. 11)
One atom of each set of equivalent atoms:
Er (0.1625, 0.2500, 0.1380)
Bi (0.2863, 0.2500, 0.5825)
S (0.1148, 0.7500, 0.3711)
S (0.1766, 0.7500, 0.9162)
S (0.4743, 0.2500, 0.3169)

=====

It is b that is the least stable of them.

=====

a:
A plane-wave DFT calculation with PBE was carried out for an optimized crystal structure of ErBiSb.

Computed properties:
The value obtained for the total moment is 0.0 μB/cell.

Cell lengths 4.0219, 4.0219, 10.3968 Å; angles 90.00, 90.00, 90.00 degrees
Space group I4mm (No. 107)
One atom of each set of equivalent atoms:
Er (0.0000, 0.0000, 0.0000)
Bi (0.0000, 0.0000, 0.6688)
Sb (0.0000, 0.0000, 0.3661)

=====

b:
A plane-wave DFT calculation with PBE was carried out for an optimized crystal structure of ErBiSb.

Computed properties:
The value obtained for the total moment is 0.0 μB/cell.

Cell lengths 7.4598, 7.4598, 7.4598 Å; angles 90.00, 90.00, 90.00 degrees
Space group P2_13 (No. 198)
One atom of each set of equivalent atoms:
Er (0.0010, 0.0010, 0.0010)
Bi (0.0802, 0.5802, 0.9198)
Sb (0.1472, 0.8528, 0.3528)

=====

It is b that is the least stable of them.

=====

a:
A plane-wave DFT calculation with PBE was carried out for an optimized crystal structure of ErBiSb.

Computed properties:
The value obtained for the total moment is 0.0 μB/cell.

Cell lengths 4.2907, 4.2907, 9.3269 Å; angles 90.00, 90.00, 90.00 degrees
Space group P4/nmm (No. 129, origin choice 2)
One atom of each set of equivalent atoms:
Er (0.2500, 0.2500, 0.2432)
Bi (0.2500, 0.2500, 0.8880)
Sb (0.2500, 0.7500, 0.5000)

=====

b:
A plane-wave DFT calculation with PBE was carried out for an optimized crystal structure of ErBiSb.

Computed properties:
The value obtained for the total moment is 0.0 μB/cell.

Cell lengths 5.1030, 5.1030, 4.0930 Å; angles 90.00, 90.00, 120.00 degrees
Space group P3m1 (No. 156)
One atom of each set of equivalent atoms:
Er (0.0000, 0.0000, 0.0000)
Bi (0.3333, 0.6667, 0.5010)
Sb (0.6667, 0.3333, 0.0020)

=====

It is b that is the least stable of them.

=====

a:
A plane-wave DFT calculation with PBE was carried out for an optimized crystal structure of ErSc2Bi.

Computed properties:
The value obtained for the total moment is 0.1 μB/cell.

Cell lengths 4.4317, 4.4260, 10.9999 Å; angles 90.00, 101.61, 90.00 degrees
Space group P2_1/m (No. 11)
One atom of each set of equivalent atoms:
Er (0.1905, 0.2500, 0.3815)
Sc (0.0547, 0.7500, 0.1096)
Sc (0.4435, 0.7500, 0.8868)
Bi (0.3384, 0.2500, 0.6764)

=====

b:
A plane-wave DFT calculation with PBE was carried out for an optimized crystal structure of ErSc2Bi.

Computed properties:
The value obtained for the total moment is 1.4 μB/cell.

Cell lengths 3.9400, 3.9400, 6.7426 Å; angles 90.00, 90.00, 90.00 degrees
Space group P4/mmm (No. 123)
One atom of each set of equivalent atoms:
Er (0.0000, 0.0000, 0.0000)
Sc (0.5000, 0.5000, 0.2664)
Bi (0.0000, 0.0000, 0.5000)

=====

c:
A plane-wave DFT calculation with PBE was carried out for an optimized crystal structure of ErSc2Bi.

Computed properties:
The value obtained for the total moment is 5.6 μB/cell.

Cell lengths 3.3825, 3.3825, 34.0772 Å; angles 90.00, 90.00, 120.00 degrees
Space group R-3m (No. 166, hexagonal axes)
One atom of each set of equivalent atoms:
Er (0.0000, 0.0000, 0.0000)
Sc (0.0000, 0.0000, 0.0932)
Bi (0.0000, 0.0000, 0.5000)

=====

It is c that is the least stable of them.

=====

a:
A plane-wave DFT calculation with PBE was carried out for an optimized crystal structure of ErSc2Bi.

Computed properties:
The value obtained for the total moment is 0.4 μB/cell.

Cell lengths 3.5102, 3.5102, 30.5671 Å; angles 90.00, 90.00, 120.00 degrees
Space group R3m (No. 160, hexagonal axes)
One atom of each set of equivalent atoms:
Er (0.0000, 0.0000, 0.0000)
Sc (0.0000, 0.0000, 0.5807)
Sc (0.0000, 0.0000, 0.7531)
Bi (0.0000, 0.0000, 0.1667)

=====

b:
A plane-wave DFT calculation with PBE was carried out for an optimized crystal structure of ErSc2Bi.

Computed properties:
The value obtained for the total moment is 1.8 μB/cell.

Cell lengths 4.6796, 4.6796, 4.6602 Å; angles 90.00, 90.00, 90.00 degrees
Space group P4/mmm (No. 123)
One atom of each set of equivalent atoms:
Er (0.0000, 0.0000, 0.0000)
Sc (0.0000, 0.5000, 0.5000)
Bi (0.5000, 0.5000, 0.0000)

=====

It is a that is the least stable of them.

=====

a:
A plane-wave DFT calculation with PBE was carried out for an optimized crystal structure of Er2BiSe.

Computed properties:
The value obtained for the total moment is 0.0 μB/cell.

Cell lengths 4.2426, 4.2426, 20.8241 Å; angles 90.00, 90.00, 120.00 degrees
Space group R-3m (No. 166, hexagonal axes)
One atom of each set of equivalent atoms:
Er (0.0000, 0.0000, 0.2427)
Bi (0.0000, 0.0000, 0.0000)
Se (0.0000, 0.0000, 0.5000)

=====

b:
A plane-wave DFT calculation with PBE was carried out for an optimized crystal structure of Er2BiSe.

Computed properties:
The value obtained for the total moment is 0.0 μB/cell.

Cell lengths 4.1719, 4.1719, 21.7369 Å; angles 90.00, 90.00, 120.00 degrees
Space group R3m (No. 160, hexagonal axes)
One atom of each set of equivalent atoms:
Er (0.0000, 0.0000, 0.0000)
Er (0.0000, 0.0000, 0.1832)
Bi (0.0000, 0.0000, 0.7585)
Se (0.0000, 0.0000, 0.5882)

=====

It is b that is the least stable of them.

=====

a:
A plane-wave DFT calculation with PBE was carried out for an optimized crystal structure of SmErBi2.

Computed properties:
The value obtained for the total moment is 0.0 μB/cell.

Cell lengths 4.4724, 4.4724, 22.9283 Å; angles 90.00, 90.00, 120.00 degrees
Space group R3m (No. 160, hexagonal axes)
One atom of each set of equivalent atoms:
Sm (0.0000, 0.0000, 0.0000)
Er (0.0000, 0.0000, 0.8294)
Bi (0.0000, 0.0000, 0.4154)
Bi (0.0000, 0.0000, 0.5804)

=====

b:
A plane-wave DFT calculation with PBE was carried out for an optimized crystal structure of SmErBi2.

Computed properties:
The value obtained for the total moment is 0.0 μB/cell.

Cell lengths 4.5030, 6.3705, 9.0026 Å; angles 90.00, 90.00, 90.00 degrees
Space group Pmmn (No. 59, origin choice 2)
One atom of each set of equivalent atoms:
Sm (0.2500, 0.2500, 0.1256)
Er (0.2500, 0.2500, 0.6245)
Bi (0.2500, 0.7500, 0.1305)
Bi (0.2500, 0.7500, 0.6194)

=====

c:
A plane-wave DFT calculation with PBE was carried out for an optimized crystal structure of SmErBi2.

Computed properties:
The value obtained for the total moment is 0.0 μB/cell.

Cell lengths 4.4887, 4.4887, 14.9248 Å; angles 90.00, 90.00, 120.00 degrees
Space group P6_3/mmc (No. 194)
One atom of each set of equivalent atoms:
Sm (0.0000, 0.0000, 0.0000)
Er (0.3333, 0.6667, 0.2500)
Bi (0.3333, 0.6667, 0.6259)

=====

It is a that is the least stable of them.

=====

a:
A plane-wave DFT calculation with PBE was carried out for an optimized crystal structure of ErSnBi.

Computed properties:
The value obtained for the total moment is 0.0 μB/cell.

Cell lengths 4.0333, 4.0333, 10.2795 Å; angles 90.00, 90.00, 90.00 degrees
Space group I4mm (No. 107)
One atom of each set of equivalent atoms:
Er (0.0000, 0.0000, 0.0000)
Sn (0.0000, 0.0000, 0.6594)
Bi (0.0000, 0.0000, 0.3425)

=====

b:
A plane-wave DFT calculation with PBE was carried out for an optimized crystal structure of ErSnBi.

Computed properties:
The value obtained for the total moment is 0.0 μB/cell.

Cell lengths 5.4756, 5.4756, 3.3096 Å; angles 90.00, 90.00, 120.00 degrees
Space group P3m1 (No. 156)
One atom of each set of equivalent atoms:
Er (0.0000, 0.0000, 0.0000)
Sn (0.6667, 0.3333, 0.4980)
Bi (0.3333, 0.6667, 0.5008)

=====

c:
A plane-wave DFT calculation with PBE was carried out for an optimized crystal structure of ErSnBi.

Computed properties:
The value obtained for the total moment is 0.0 μB/cell.

Cell lengths 4.5509, 16.4326, 4.4684 Å; angles 90.00, 90.00, 90.00 degrees
Space group Cmcm (No. 63)
One atom of each set of equivalent atoms:
Er (0.0000, 0.0966, 0.2500)
Sn (0.0000, 0.4381, 0.2500)
Bi (0.0000, 0.2503, 0.7500)

=====

It is b that is the least stable of them.